First-principles (GGA-PBE) data for crystalline HfTcAu2 at its relaxed geometry, as listed in OQMD.

Cell: 4.623 4.623 4.623 Å, 60.00 60.00 60.00°
Fractional positions:
Hf (0.250, 0.250, 0.250)
Au (0.750, 0.750, 0.750)
Tc (0.500, 0.500, 0.500)
Au (0.000, 0.000, 0.000)

Calculated values
**Crystal system**: cubic
**E**: -6.712 eV/atom
**Energy of formation from the pure elements**: 0.000 eV per atom



First-principles (GGA-PBE) data for crystalline SmHgTeO at its relaxed geometry, as listed in OQMD.

Cell: 5.105 9.204 5.838 Å, 90.00 90.00 90.00°
Fractional positions:
Hg (0.000, 0.695, 0.646)
Sm (0.500, 0.869, 0.023)
O (0.500, 0.923, 0.671)
Te (0.000, 0.688, 0.152)
Sm (0.500, 0.131, 0.523)
Te (0.000, 0.312, 0.652)
Hg (0.000, 0.305, 0.146)
O (0.500, 0.077, 0.171)

Calculated values
**Crystal system**: orthorhombic
**E**: -4.741 eV/atom



First-principles (GGA-PBE) data for crystalline TlSnTe3Au at its relaxed geometry, as listed in OQMD.

Cell: 14.653 4.337 11.747 Å, 90.00 90.00 90.00°
Fractional positions:
Tl (0.720, 0.750, 0.984)
Sn (0.965, 0.250, 0.148)
Te (0.608, 0.750, 0.418)
Te (0.348, 0.750, 0.253)
Te (0.910, 0.750, 0.651)
Sn (0.035, 0.750, 0.852)
Au (0.477, 0.750, 0.075)
Sn (0.465, 0.250, 0.352)
Te (0.652, 0.250, 0.747)
Te (0.892, 0.250, 0.918)
Te (0.108, 0.750, 0.082)
Tl (0.780, 0.250, 0.484)
Sn (0.535, 0.750, 0.648)
Te (0.090, 0.250, 0.349)
Te (0.392, 0.250, 0.582)
Au (0.977, 0.750, 0.425)
Te (0.152, 0.250, 0.753)
Te (0.848, 0.750, 0.247)
Tl (0.220, 0.750, 0.516)
Te (0.590, 0.250, 0.151)
Te (0.410, 0.750, 0.849)
Tl (0.280, 0.250, 0.016)
Au (0.523, 0.250, 0.925)
Au (0.023, 0.250, 0.575)

Calculated values
**Crystal system**: orthorhombic
**E**: -3.321 eV/atom